Computed, not measured: CsPtBr2Cl after structural relaxation at the GGA-PBE level of DFT.

Crystal system = tetragonal
VASP energy = -16.22 eV per cell
DOS(E_F) = 0.36 states/eV per atom
E_form (uncorrected) = -0.83 eV/atom

abc: 5.332 5.332 5.060
angles: 90.00 90.00 90.00
Fractional positions:
Cs 0.000 0.000 0.000
Pt 0.500 0.500 0.500
Br 0.000 0.500 0.500
Br 0.500 0.000 0.500
Cl 0.500 0.500 0.000

Computed, not measured: PrHo8Mg6 after structural relaxation at the GGA-PBE level of DFT.

Crystal system = trigonal
VASP energy = -47.96 eV per cell
DOS(E_F) = 1.41 states/eV per atom
Energy of formation from the pure elements = 0.200 eV per atom

abc: 8.307 8.307 8.307
angles: 66.56 66.56 66.56
Fractional positions:
Pr 0.000 0.000 0.000
Ho 0.118 0.451 0.783
Ho 0.217 0.882 0.549
Ho 0.336 0.336 0.336
Ho 0.451 0.783 0.118
Ho 0.549 0.217 0.882
Ho 0.664 0.664 0.664
Ho 0.783 0.118 0.451
Ho 0.882 0.549 0.217
Mg 0.047 0.712 0.386
Mg 0.288 0.614 0.953
Mg 0.386 0.047 0.712
Mg 0.614 0.953 0.288
Mg 0.712 0.386 0.047
Mg 0.953 0.288 0.614

Computed, not measured: Dy2Tm5 after structural relaxation at the GGA-PBE level of DFT.

Crystal system = monoclinic
VASP energy = -63.17 eV per cell
DOS(E_F) = 1.61 states/eV per atom
Energy of formation from the pure elements = -0.003 eV per atom

abc: 8.306 8.306 9.050
angles: 95.78 95.78 43.71
Fractional positions:
Dy 0.096 0.761 0.893
Dy 0.239 0.904 0.607
Dy 0.761 0.096 0.393
Dy 0.904 0.239 0.107
Tm 0.048 0.381 0.822
Tm 0.190 0.522 0.536
Tm 0.334 0.666 0.250
Tm 0.381 0.048 0.322
Tm 0.478 0.810 0.964
Tm 0.522 0.190 0.036
Tm 0.619 0.952 0.678
Tm 0.666 0.334 0.750
Tm 0.810 0.478 0.464
Tm 0.952 0.619 0.178

Computed, not measured: MnHgTe2 after structural relaxation at the GGA-PBE level of DFT.

Crystal system = tetragonal
VASP energy = -14.92 eV per cell
DOS(E_F) = 0.77 states/eV per atom
E_form (uncorrected) = 0.21 eV/atom

abc: 3.272 3.272 9.694
angles: 90.00 90.00 90.00
Fractional positions:
Mn 0.000 0.000 0.000
Hg 0.500 0.500 0.785
Te 0.000 0.000 0.511
Te 0.500 0.500 0.156

Computed, not measured: Ac2ErTcO6 after structural relaxation at the GGA-PBE level of DFT.

Crystal system = orthorhombic
VASP energy = -160.30 eV per cell
DOS(E_F) = 0.22 states/eV per atom
E_form (uncorrected) = -2.73 eV/atom

abc: 5.747 8.408 6.178
angles: 90.00 90.00 90.00
Fractional positions:
Ac 0.250 0.025 0.212
Ac 0.250 0.475 0.212
Ac 0.750 0.525 0.788
Ac 0.750 0.975 0.788
Er 0.250 0.250 0.723
Er 0.750 0.750 0.277
Tc 0.250 0.750 0.769
Tc 0.750 0.250 0.231
O 0.000 0.250 0.994
O 0.000 0.750 0.006
O 0.005 0.250 0.459
O 0.250 0.505 0.790
O 0.250 0.995 0.790
O 0.495 0.250 0.459
O 0.500 0.250 0.994
O 0.500 0.750 0.006
O 0.505 0.750 0.541
O 0.750 0.005 0.210
O 0.750 0.495 0.210
O 0.995 0.750 0.541

Computed, not measured: Ho3AlTl3S8 after structural relaxation at the GGA-PBE level of DFT.

Crystal system = monoclinic
VASP energy = -76.96 eV per cell
DOS(E_F) = 0.33 states/eV per atom
E_form (uncorrected) = -1.29 eV/atom

abc: 7.845 7.845 8.653
angles: 117.02 117.02 59.99
Fractional positions:
Ho 0.000 0.000 0.000
Ho 0.000 0.500 0.000
Ho 0.500 0.000 0.000
Al 0.500 0.500 0.000
Tl 0.000 0.500 0.500
Tl 0.500 0.000 0.500
Tl 0.500 0.500 0.500
S 0.234 0.234 0.202
S 0.257 0.716 0.188
S 0.284 0.743 0.812
S 0.285 0.285 0.812
S 0.715 0.715 0.188
S 0.716 0.257 0.188
S 0.743 0.284 0.812
S 0.766 0.766 0.798

Computed, not measured: LiAcAg2 after structural relaxation at the GGA-PBE level of DFT.

Crystal system = orthorhombic
Relative energy among the computed polymorphs = 0.0153 eV per atom
VASP energy = -50.62 eV per cell
DOS(E_F) = 0.54 states/eV per atom
Energy of formation from the pure elements = -0.233 eV per atom

abc: 7.998 7.672 6.161
angles: 90.00 90.00 90.00
Fractional positions:
Li 0.123 0.250 0.151
Li 0.377 0.750 0.651
Li 0.623 0.250 0.349
Li 0.877 0.750 0.849
Ac 0.031 0.750 0.362
Ac 0.469 0.250 0.862
Ac 0.531 0.750 0.138
Ac 0.969 0.250 0.638
Ag 0.172 0.559 0.915
Ag 0.172 0.941 0.915
Ag 0.328 0.059 0.415
Ag 0.328 0.441 0.415
Ag 0.672 0.559 0.585
Ag 0.672 0.941 0.585
Ag 0.828 0.059 0.085
Ag 0.828 0.441 0.085

Computed, not measured: YNb5Ru6 after structural relaxation at the GGA-PBE level of DFT.

Crystal system = orthorhombic
VASP energy = -115.18 eV per cell
DOS(E_F) = 1.02 states/eV per atom
Energy of formation from the pure elements = -0.226 eV per atom

abc: 7.023 7.023 6.824
angles: 90.00 90.00 143.19
Fractional positions:
Y 0.000 0.000 0.000
Nb 0.000 0.000 0.500
Nb 0.320 0.680 0.000
Nb 0.334 0.666 0.500
Nb 0.666 0.334 0.500
Nb 0.680 0.320 0.000
Ru 0.171 0.829 0.276
Ru 0.171 0.829 0.724
Ru 0.500 0.500 0.271
Ru 0.500 0.500 0.729
Ru 0.829 0.171 0.276
Ru 0.829 0.171 0.724